The following is a GGA+U calculation of SbW2SeF after structural relaxation, from Alexandria via LeMat-Bulk.

- total magnetic moment (μB/f.u.) = 7.09
- symmetry = P4/mmm
- DFT total energy (eV/f.u.) = -20.64
- volume (Å³/cell) = 112

Lattice parameters (Å, degrees): 4.5189 5.5055 4.5189 90.00 90.00 90.00
Site moments in Bohr magnetons follow the coordinates.
Element x y z (fractional)
Sb1 0.5000 0.5000 0.5000  -0.15
W1 0.0000 0.0000 0.5000  3.19
Se1 0.0000 0.5000 0.0000  0.02
F1 0.0000 0.0000 0.0000  0.04
W2 0.5000 0.0000 0.0000  3.24